Entry 1:
MgMo2Pb (meta-GGA SCAN, single point on PBEsol structure); SG = R-3m; offset from the most stable computed form = 1.12 eV/f.u.
1.0
2.992 0.000 0.000
1.496 2.592 0.000
1.496 0.864 9.501
Mg Mo Pb
1 2 1
Cartesian
0.000 0.000 0.000
1.496 0.864 2.376
4.489 2.592 7.125
2.992 1.728 4.751

***

Entry 2:
BaTlAu2 (meta-GGA SCAN, single point on PBEsol structure); SG = Imm2; final energy = -252.07 eV/cell
1.0
4.053 0.000 0.000
0.000 5.348 0.000
-2.026 -2.674 4.824
Tl Au Ba
1 2 1
Cartesian
2.026 0.000 2.119
2.026 2.674 4.690
0.000 2.674 2.758
2.026 2.674 0.080

***

Entry 3:
CaIn3 (meta-GGA SCAN, single point on PBEsol structure); SG = C2/m; final energy = -111.01 eV/cell
1.0
3.689 0.000 0.000
0.000 5.636 0.019
-1.845 -1.126 5.004
Ca In
1 3
Cartesian
0.000 0.000 0.000
1.845 2.818 0.009
1.845 0.927 2.568
0.000 3.584 2.455

***

Entry 4:
Ba2TlSbO6 (meta-GGA SCAN, single point on PBEsol structure); energy relative to the elements, uncorrected = -2081 meV per atom; SG = Fm-3m
1.0
5.954 0.000 0.000
2.977 5.157 0.000
2.977 1.719 4.862
Ba Tl Sb O
2 1 1 6
Cartesian
8.932 5.157 3.646
2.977 1.719 1.215
5.954 3.438 2.431
0.000 0.000 0.000
4.387 4.343 1.151
7.522 2.533 3.711
4.387 2.533 3.711
5.954 1.628 1.151
5.954 5.248 3.711
7.522 4.343 1.151

***

Entry 5:
Ba2OsPt (meta-GGA SCAN, single point on PBEsol structure); SG = I-4m2; offset from the most stable computed form = 1.58 eV/f.u.
1.0
-0.223 -2.311 3.847
4.338 -1.097 -0.408
-0.777 5.821 0.828
Os Ba Pt
1 2 1
Cartesian
2.058 -1.704 1.719
0.000 0.000 0.000
0.529 0.903 3.197
2.809 1.510 1.070

***

Entry 6:
Sr3BeH (meta-GGA SCAN, single point on PBEsol structure); SG = Pm-3m; final energy = -71.60 eV/cell
1.0
5.881 0.000 0.000
0.000 5.881 0.000
0.000 0.000 5.881
Sr H Be
3 1 1
Cartesian
0.000 2.940 0.000
0.000 0.000 2.940
2.940 0.000 0.000
2.940 2.940 2.940
0.000 0.000 0.000

***

Entry 7:
Fe2TcTe (meta-GGA SCAN, single point on PBEsol structure); energy relative to the elements, uncorrected = 470 meV per atom; SG = R3m
1.0
-2.966 -0.422 0.081
-1.168 -2.606 -0.909
-0.788 -3.773 6.891
Fe Tc Te
2 1 1
Cartesian
-0.800 -3.719 6.750
-3.687 -5.124 4.608
-2.451 -3.447 3.153
-1.234 -1.685 1.475

***

Entry 8:
SrLi3Hf (meta-GGA SCAN, single point on PBEsol structure); SG = Pm-3m; final energy = -87.60 eV/cell
1.0
-0.527 1.216 -5.197
-1.732 -4.979 -0.989
-5.049 1.581 0.882
Sr Hf Li
1 1 3
Cartesian
-3.654 -1.091 -2.652
0.000 0.000 0.000
-0.866 -2.489 -0.494
-2.524 0.790 0.441
-0.264 0.608 -2.599

***

Entry 9:
Mg2SbTe (meta-GGA SCAN, single point on PBEsol structure); energy relative to the elements, uncorrected = -178 meV per atom; SG = I4/mmm; offset from the most stable computed form = 1.36 eV/f.u.
1.0
4.945 0.000 0.000
-2.473 4.651 -0.006
0.000 2.635 4.185
Mg Sb Te
2 1 1
Cartesian
0.000 2.984 1.043
2.473 4.301 3.136
2.473 1.317 2.093
0.000 0.000 0.000

***

Entry 10:
KCdCo3 (meta-GGA SCAN, single point on PBEsol structure); SG = Pm-3m; final energy = -83.80 eV/cell
1.0
4.836 0.000 0.000
0.000 4.836 0.000
0.000 0.000 4.836
K Co Cd
1 3 1
Cartesian
2.418 2.418 2.418
0.000 2.418 0.000
0.000 0.000 2.418
2.418 0.000 0.000
0.000 0.000 0.000

***

Entry 11:
CoTeCl (meta-GGA SCAN, single point on PBEsol structure); energy relative to the elements, uncorrected = -458 meV per atom; SG = P3m1
1.0
-1.041 -1.122 -3.144
2.928 -1.272 1.429
-3.180 -4.381 2.617
Te Co Cl
1 1 1
Cartesian
0.199 -3.158 1.061
-1.858 -4.120 0.141
-2.815 -3.878 2.316

***

Entry 12:
MgTl2Cd (meta-GGA SCAN, single point on PBEsol structure); SG = P4/mmm; offset from the most stable computed form = 0.15 eV/f.u.
1.0
-1.476 0.699 3.109
2.862 -1.216 1.632
3.193 7.334 -0.132
Tl Mg Cd
2 1 1
Cartesian
2.390 5.489 -0.099
0.803 1.845 -0.033
2.289 3.408 2.305
0.693 -0.259 2.371

***

Repeat the seventh record exactly.
Fe2TcTe (meta-GGA SCAN, single point on PBEsol structure); energy relative to the elements, uncorrected = 470 meV per atom; SG = R3m
1.0
-2.966 -0.422 0.081
-1.168 -2.606 -0.909
-0.788 -3.773 6.891
Fe Tc Te
2 1 1
Cartesian
-0.800 -3.719 6.750
-3.687 -5.124 4.608
-2.451 -3.447 3.153
-1.234 -1.685 1.475